The following is a DFT calculation (PBE with a Hubbard U) of a relaxed structure of LiMnF3.

The calculation puts the calculated density at 3.4 g/cm3. Its energy above the most stable polymorph in this dataset is 0.023 eV per atom.

It has space group Cmcm (No. 63), with a = 3.3696 Å, b = 12.4335 Å, c = 5.6016 Å, α = 90.00°, β = 90.00° and γ = 90.00°. The inequivalent atoms are Li at (0.0000, 0.0570, 0.2500), Mn at (0.0000, 0.3199, 0.2500), F at (0.0000, 0.1681, 0.0039) and F at (0.0000, 0.4876, 0.2500).